(1)
VASP calculation (PBE-GGA) on a geometry-optimized YFeIrPb structure.

Cell and atoms, written as POSCAR:
```
YFeIrPb
1.0
-3.646 -1.680 2.461
-0.804 1.551 4.373
-3.718 2.753 0.875
Fe Pb Y Ir
1 1 1 1
direct
0.750 0.750 0.750
0.000 0.000 0.000
0.500 0.500 0.500
0.250 0.250 0.250
```

Computed properties:
The uncorrected energy is -27.3 eV per formula unit. The calculation puts the energy above the most stable polymorph in this dataset at 0.00 eV/f.u. The calculation puts the total moment at 2.1 μB/cell.



(2)
VASP calculation (PBE-GGA) on a geometry-optimized FeIrPd structure.

Cell and atoms, written as POSCAR:
```
FeIrPd
1.0
3.739 -1.426 -0.213
0.626 -3.949 -0.262
1.345 -1.592 -3.422
Fe Ir Pd
1 1 1
direct
0.000 0.000 0.000
0.250 0.250 0.250
0.750 0.750 0.750
```

Computed properties:
The uncorrected energy is -21.2 eV per formula unit. As for the formation energy from the elements: 0.3897 eV per atom. The calculation puts the energy above the most stable polymorph in this dataset at 0.00 eV/f.u. The calculation puts the total moment at 3.1 μB/cell.



(3)
VASP calculation (PBE-GGA) on a geometry-optimized FeSbIrPd structure.

Cell and atoms, written as POSCAR:
```
FeSbIrPd
1.0
0.000 3.153 3.153
3.153 0.000 3.153
3.153 3.153 0.000
Sb Fe Pd Ir
1 1 1 1
direct
0.000 0.000 0.000
0.750 0.750 0.750
0.500 0.500 0.500
0.250 0.250 0.250
```

Computed properties:
The uncorrected energy is -26.2 eV per formula unit. The calculation puts the energy above the most stable polymorph in this dataset at 0.00 eV/f.u. The calculation puts the total moment at 2.7 μB/cell.



(4)
VASP calculation (PBE-GGA) on a geometry-optimized TlFeIrPd structure.

Cell and atoms, written as POSCAR:
```
TlFeIrPd
1.0
0.000 3.184 3.184
3.184 0.000 3.184
3.184 3.184 0.000
Tl Ir Fe Pd
1 1 1 1
direct
0.000 0.000 0.000
0.500 0.500 0.500
0.750 0.750 0.750
0.250 0.250 0.250
```

Computed properties:
The uncorrected energy is -23.4 eV per formula unit. The calculation puts the energy above the most stable polymorph in this dataset at 0.00 eV/f.u. The calculation puts the total moment at 3.3 μB/cell.



(5)
VASP calculation (PBE-GGA) on a geometry-optimized PrFeSi2Ir structure.

Cell and atoms, written as POSCAR:
```
PrFeSi2Ir
1.0
3.298 -2.583 3.976
-1.209 -5.389 1.690
0.662 2.948 -4.922
Si Ir Fe Pr
2 1 1 1
direct
0.381 0.881 0.500
0.119 0.619 0.500
0.500 0.500 0.000
0.000 0.000 0.000
0.750 0.250 0.500
```

Computed properties:
The uncorrected energy is -37.0 eV per formula unit. The calculation puts the total moment at 0.0 μB/cell.



(6)
VASP calculation (PBE-GGA) on a geometry-optimized Pr2FeSi4Ir structure.

Cell and atoms, written as POSCAR:
```
Pr2FeSi4Ir
1.0
-1.561 3.672 1.099
7.104 1.642 4.606
7.985 3.172 0.744
Pr Fe Ir Si
2 1 1 4
direct
0.500 0.107 0.107
0.000 0.895 0.895
0.000 0.681 0.681
0.500 0.321 0.321
0.000 0.546 0.546
0.500 0.463 0.463
0.500 0.745 0.745
0.000 0.243 0.243
```

Computed properties:
The uncorrected energy is -54.3 eV per formula unit. The calculation puts the total moment at 0.9 μB/cell.